The following is a DFT calculation (GGA-PBE) of a relaxed KTlRu2 crystal.

Values from the calculation:
Crystal system: tetragonal
Total magnetic moment, μB/cell: 3.0
Energy relative to the lowest polymorph listed for this composition, meV per atom: 626.9
Energy relative to the elements, kcal/mol of atoms: 25.727

Cell: 2.963 2.963 9.621 Å, 90.00 90.00 90.00°
Sites, in units of the cell vectors:
K 0.500 0.500 0.750
Ru 0.000 0.000 0.462
Ru 0.000 0.000 0.038
Tl 0.500 0.500 0.250



The following is a DFT calculation (GGA-PBE) of a relaxed KTlRu2 crystal.

Values from the calculation:
Crystal system: orthorhombic
Total magnetic moment, μB/cell: 0.0
Energy relative to the lowest polymorph listed for this composition, meV per atom: 424.4
Energy relative to the elements, kcal/mol of atoms: 21.057

Cell: 6.354 6.354 6.354 Å, 153.77 129.58 57.71°
Sites, in units of the cell vectors:
Ru 0.771 0.271 0.500
Ru 0.951 0.951 0.000
K 0.239 0.739 0.500
Tl 0.538 0.538 0.000



The following is a DFT calculation (GGA-PBE) of a relaxed KTlRu2 crystal.

Values from the calculation:
Crystal system: orthorhombic
Total magnetic moment, μB/cell: 1.9
Energy relative to the lowest polymorph listed for this composition, meV per atom: 425.7
Energy relative to the elements, kcal/mol of atoms: 21.086

Cell: 2.934 4.566 7.056 Å, 90.00 90.00 90.00°
Sites, in units of the cell vectors:
Ru 0.000 0.000 0.086
Ru 0.000 0.000 0.414
Tl 0.500 0.500 0.250
K 0.500 0.500 0.750



The following is a DFT calculation (GGA-PBE) of a relaxed KTlRu2 crystal.

Values from the calculation:
Crystal system: orthorhombic
Total magnetic moment, μB/cell: 2.1
Energy relative to the lowest polymorph listed for this composition, meV per atom: 696.7
Energy relative to the elements, kcal/mol of atoms: 27.335

Cell: 2.982 5.202 5.143 Å, 90.00 90.00 90.00°
Sites, in units of the cell vectors:
Ru 0.000 0.000 0.000
Ru 0.500 0.500 0.000
K 0.000 0.500 0.500
Tl 0.500 0.000 0.500